First-principles (PBE-GGA) data for a relaxed TeMo2Ir crystal, as listed in the Alexandria database.

a b c (Å): 5.3121 8.5665 2.9727
angles (deg): 90.00 90.00 90.00
Sites, in units of the cell vectors:
Te  0.0000  0.0000  0.0000
Te  0.5000  0.5000  0.0000
Mo  0.2500  0.2500  0.5000
Mo  0.2500  0.7500  0.5000
Mo  0.7500  0.2500  0.5000
Mo  0.7500  0.7500  0.5000
Ir  0.0000  0.5000  0.0000
Ir  0.5000  0.0000  0.0000

The calculation puts the magnetic moment at 0.00 μB/cell. The relative energy among the computed polymorphs comes out at 0.167 eV per atom. Its density of states at the Fermi level is 1.02 states/eV per atom. The formation energy from raw total energies is 0.419 eV per atom.